1.
This record from the Alexandria database describes an optimized crystal structure of TbGdTlHg. The functional is PBE.

abc: 5.344 5.344 5.344
angles: 60.00 60.00 60.00
Element x y z (fractional)
Tb: 0.000 0.000 0.000
Gd: 0.500 0.500 0.500
Tl: 0.250 0.250 0.250
Hg: 0.750 0.750 0.750

Results
Energy of formation = -439 meV/atom

=====

2.
This record from the Alexandria database describes an optimized crystal structure of AsRuRh2. The functional is PBE.

abc: 4.588 4.588 4.588
angles: 128.78 128.78 75.37
Element x y z (fractional)
As: 0.000 0.000 0.000
Ru: 0.750 0.250 0.500
Rh: 0.250 0.750 0.500
Rh: 0.500 0.500 0.000

Results
Energy of formation = -9 meV/atom

=====

3.
This record from the Alexandria database describes an optimized crystal structure of Y2ZnF2. The functional is PBE.

abc: 7.192 7.192 7.192
angles: 150.58 150.58 42.08
Element x y z (fractional)
Y: 0.133 0.133 0.000
Y: 0.867 0.867 0.000
Zn: 0.500 0.500 0.000
F: 0.250 0.750 0.500
F: 0.750 0.250 0.500

Results
Raw formation energy = -2.24 eV per atom

=====

4.
This record from the Alexandria database describes an optimized crystal structure of Dy11Al9Ag4. The functional is PBE.

abc: 12.908 12.908 3.632
angles: 90.00 90.00 112.70
Element x y z (fractional)
Dy: 0.000 0.000 0.000
Dy: 0.057 0.409 0.000
Dy: 0.161 0.839 0.000
Dy: 0.292 0.292 0.000
Dy: 0.362 0.638 0.000
Dy: 0.409 0.057 0.000
Dy: 0.591 0.943 0.000
Dy: 0.638 0.362 0.000
Dy: 0.708 0.708 0.000
Dy: 0.839 0.161 0.000
Dy: 0.943 0.591 0.000
Al: 0.070 0.213 0.500
Al: 0.161 0.634 0.500
Al: 0.213 0.070 0.500
Al: 0.366 0.839 0.500
Al: 0.500 0.500 0.500
Al: 0.634 0.161 0.500
Al: 0.787 0.930 0.500
Al: 0.839 0.366 0.500
Al: 0.930 0.787 0.500
Ag: 0.247 0.448 0.500
Ag: 0.448 0.247 0.500
Ag: 0.552 0.753 0.500
Ag: 0.753 0.552 0.500

Results
Energy of formation = -354 meV/atom

=====

5.
This record from the Alexandria database describes an optimized crystal structure of TbTl2Hg. The functional is PBE.

abc: 11.683 11.683 11.683
angles: 17.28 17.28 17.28
Element x y z (fractional)
Tb: 0.000 0.000 0.000
Tl: 0.091 0.091 0.091
Tl: 0.909 0.909 0.909
Hg: 0.500 0.500 0.500

Results
Energy above the lowest structure with this stoichiometry = 0.369 eV per atom
Energy of formation = 104 meV/atom

=====

6.
This record from the Alexandria database describes an optimized crystal structure of Tm2Hg3Pd4. The functional is PBE.

abc: 4.693 4.693 8.937
angles: 95.43 95.43 63.62
Element x y z (fractional)
Tm: 0.161 0.161 0.283
Tm: 0.839 0.839 0.717
Hg: 0.180 0.180 0.924
Hg: 0.500 0.500 0.500
Hg: 0.820 0.820 0.076
Pd: 0.168 0.168 0.604
Pd: 0.489 0.489 0.170
Pd: 0.511 0.511 0.830
Pd: 0.832 0.832 0.396

Results
Energy above the lowest structure with this stoichiometry = 0.011 eV per atom
Energy of formation = -600 meV/atom

=====

7.
This record from the Alexandria database describes an optimized crystal structure of RbTiNbS2. The functional is PBE.

abc: 5.431 5.431 4.781
angles: 90.00 90.00 90.00
Element x y z (fractional)
Rb: 0.000 0.000 0.000
Ti: 0.000 0.000 0.500
Nb: 0.500 0.500 0.500
S: 0.000 0.500 0.000
S: 0.500 0.000 0.000

Results
Raw formation energy = 2.03 eV per atom

=====

8.
This record from the Alexandria database describes an optimized crystal structure of HfZr12Pb3. The functional is PBE.

abc: 5.685 5.687 11.396
angles: 90.00 90.00 90.00
Element x y z (fractional)
Hf: 0.000 0.000 0.000
Zr: 0.000 0.249 0.246
Zr: 0.000 0.249 0.754
Zr: 0.000 0.751 0.246
Zr: 0.000 0.751 0.754
Zr: 0.246 0.500 0.000
Zr: 0.250 0.500 0.500
Zr: 0.500 0.000 0.128
Zr: 0.500 0.000 0.379
Zr: 0.500 0.000 0.621
Zr: 0.500 0.000 0.872
Zr: 0.750 0.500 0.500
Zr: 0.754 0.500 0.000
Pb: 0.000 0.000 0.500
Pb: 0.500 0.500 0.251
Pb: 0.500 0.500 0.749

Results
Energy of formation = -132 meV/atom

=====

9.
This record from the Alexandria database describes an optimized crystal structure of LiNbFe4. The functional is PBE.

abc: 4.742 4.742 4.742
angles: 60.00 60.00 60.00
Element x y z (fractional)
Li: 0.000 0.000 0.000
Nb: 0.250 0.250 0.250
Fe: 0.123 0.626 0.626
Fe: 0.626 0.123 0.626
Fe: 0.626 0.626 0.123
Fe: 0.626 0.626 0.626

Results
Energy of formation = -10 meV/atom

=====

10.
This record from the Alexandria database describes an optimized crystal structure of CsIn5Ga2. The functional is PBE.

abc: 7.522 7.522 7.522
angles: 143.20 108.68 83.05
Element x y z (fractional)
Cs: 0.000 0.000 0.000
In: 0.163 0.353 0.810
In: 0.458 0.647 0.810
In: 0.500 0.000 0.500
In: 0.542 0.353 0.190
In: 0.837 0.647 0.190
Ga: 0.251 0.751 0.500
Ga: 0.749 0.249 0.500

Results
Energy of formation = -50 meV/atom

=====

11.
This record from the Alexandria database describes an optimized crystal structure of BaCaNbCd2. The functional is PBE.

abc: 6.001 6.001 5.502
angles: 90.00 90.00 90.00
Element x y z (fractional)
Ba: 0.000 0.000 0.000
Ca: 0.500 0.500 0.500
Nb: 0.000 0.000 0.500
Cd: 0.000 0.500 0.000
Cd: 0.500 0.000 0.000

Results
Energy of formation = 1219 meV/atom

=====

12.
This record from the Alexandria database describes an optimized crystal structure of Rb2TaCu2S6. The functional is PBE.

abc: 7.949 7.949 7.949
angles: 52.15 52.15 52.15
Element x y z (fractional)
Rb: 0.225 0.225 0.225
Rb: 0.775 0.775 0.775
Ta: 0.000 0.000 0.000
Cu: 0.401 0.401 0.401
Cu: 0.599 0.599 0.599
S: 0.231 0.231 0.766
S: 0.231 0.766 0.231
S: 0.234 0.769 0.769
S: 0.766 0.231 0.231
S: 0.769 0.234 0.769
S: 0.769 0.769 0.234

Results
Raw formation energy = -0.61 eV per atom

=====

no.,V (A^3/atom)
1,26.99
2,14.29
3,17.91
4,23.26
5,30.68
6,19.47
7,28.20
8,23.03
9,12.56
10,29.31
11,39.63
12,26.32